(1)
## TlIrPt2 (PBE-GGA)

Data for TlIrPt2 after structural relaxation.

For the energy above the most stable polymorph in this dataset, the calculation gives 47 meV per atom. The value obtained for the energy of formation is 238 meV per atom.

It has space group Cm (No. 8), with a = 9.294 Å, b = 2.987 Å, c = 4.997 Å, α = 90.00°, β = 100.76° and γ = 90.00°. Symmetry generates all atoms from Tl at (0.000, 0.000, 0.000), Ir at (0.250, 0.500, 0.271), Pt at (0.246, 0.000, 0.738) and Pt at (0.495, 0.000, 0.494).

---

(2)
## Tl2IrPt (PBE-GGA)

Data for Tl2IrPt after structural relaxation.

For the energy above the most stable polymorph in this dataset, the calculation gives 88 meV per atom. The value obtained for the energy of formation is 372 meV per atom.

It has space group Immm (No. 71), with a = 4.398 Å, b = 4.429 Å, c = 7.823 Å, α = 90.00°, β = 90.00° and γ = 90.00°. Symmetry generates all atoms from Tl at (0.000, 0.000, 0.250), Ir at (0.000, 0.500, 0.000) and Pt at (0.000, 0.500, 0.500).

---

(3)
## Tl2IrPt (PBE-GGA)

Data for Tl2IrPt after structural relaxation.

For the energy above the most stable polymorph in this dataset, the calculation gives 85 meV per atom. The value obtained for the energy of formation is 368 meV per atom.

It has space group P4/mmm (No. 123), with a = 4.420 Å, b = 4.420 Å, c = 3.898 Å, α = 90.00°, β = 90.00° and γ = 90.00°. Symmetry generates all atoms from Tl at (0.000, 0.500, 0.000), Ir at (0.000, 0.000, 0.500) and Pt at (0.500, 0.500, 0.500).

---

(4)
## Tl2IrPt (PBE-GGA)

Data for Tl2IrPt after structural relaxation.

For the energy above the most stable polymorph in this dataset, the calculation gives 111 meV per atom. The value obtained for the energy of formation is 394 meV per atom.

It has space group R-3m (No. 166, hexagonal axes), with a = 3.2207 Å, b = 3.2207 Å, c = 26.0828 Å, α = 90.00°, β = 90.00° and γ = 120.00°. Symmetry generates all atoms from Tl at (0.0000, 0.0000, 0.2489), Ir at (0.0000, 0.0000, 0.5000) and Pt at (0.0000, 0.0000, 0.0000).

---

(5)
## Tl2IrPt (PBE-GGA)

Data for Tl2IrPt after structural relaxation.

For the energy above the most stable polymorph in this dataset, the calculation gives 25 meV per atom. The value obtained for the energy of formation is 309 meV per atom.

It has space group Imm2 (No. 44), with a = 3.031 Å, b = 4.578 Å, c = 11.981 Å, α = 90.00°, β = 90.00° and γ = 90.00°. Symmetry generates all atoms from Tl at (0.000, 0.000, 0.000), Tl at (0.000, 0.500, 0.220), Ir at (0.000, 0.000, 0.510) and Pt at (0.000, 0.500, 0.815).

---

(6)
## TlIrPt2 (PBE-GGA)

Data for TlIrPt2 after structural relaxation.

For the energy above the most stable polymorph in this dataset, the calculation gives 37 meV per atom. The value obtained for the energy of formation is 228 meV per atom.

It has space group P4/mmm (No. 123), with a = 4.904 Å, b = 4.904 Å, c = 2.838 Å, α = 90.00°, β = 90.00° and γ = 90.00°. Symmetry generates all atoms from Tl at (0.000, 0.000, 0.000), Ir at (0.500, 0.500, 0.000) and Pt at (0.000, 0.500, 0.500).

---

(7)
## TlIrPt2 (PBE-GGA)

Data for TlIrPt2 after structural relaxation.

For the energy above the most stable polymorph in this dataset, the calculation gives 59 meV per atom. The value obtained for the energy of formation is 250 meV per atom.

It has space group I-4m2 (No. 119), with a = 4.153 Å, b = 4.153 Å, c = 7.852 Å, α = 90.00°, β = 90.00° and γ = 90.00°. Symmetry generates all atoms from Tl at (0.000, 0.000, 0.000), Ir at (0.000, 0.500, 0.750), Pt at (0.000, 0.000, 0.500) and Pt at (0.000, 0.500, 0.250).

---

(8)
## TlIrPt2 (PBE-GGA)

Data for TlIrPt2 after structural relaxation.

For the energy above the most stable polymorph in this dataset, the calculation gives 262 meV per atom. The value obtained for the energy of formation is 453 meV per atom.

It has space group I-42d (No. 122), with a = 3.932 Å, b = 3.932 Å, c = 19.126 Å, α = 90.00°, β = 90.00° and γ = 90.00°. Symmetry generates all atoms from Tl at (0.000, 0.000, 0.000), Ir at (0.000, 0.000, 0.500) and Pt at (0.229, 0.250, 0.625).

---

(9)
## Tl2IrPt (PBE-GGA)

Data for Tl2IrPt after structural relaxation.

For the energy above the most stable polymorph in this dataset, the calculation gives 68 meV per atom. The value obtained for the energy of formation is 351 meV per atom.

It has space group P4mm (No. 99), with a = 3.379 Å, b = 3.379 Å, c = 7.909 Å, α = 90.00°, β = 90.00° and γ = 90.00°. Symmetry generates all atoms from Tl at (0.000, 0.000, 0.000), Tl at (0.500, 0.500, 0.348), Ir at (0.000, 0.000, 0.607) and Pt at (0.500, 0.500, 0.740).

---

(10)
## Tl2IrPt (PBE-GGA)

Data for Tl2IrPt after structural relaxation.

For the energy above the most stable polymorph in this dataset, the calculation gives 125 meV per atom. The value obtained for the energy of formation is 409 meV per atom.

It has space group Fm-3m (No. 225), with a = 6.733 Å, b = 6.733 Å, c = 6.733 Å, α = 90.00°, β = 90.00° and γ = 90.00°. Symmetry generates all atoms from Tl at (0.250, 0.250, 0.250), Ir at (0.000, 0.000, 0.000) and Pt at (0.000, 0.000, 0.500).

---

(11)
## TlIrPt2 (PBE-GGA)

Data for TlIrPt2 after structural relaxation.

For the energy above the most stable polymorph in this dataset, the calculation gives 0 meV per atom. The value obtained for the energy of formation is 191 meV per atom.

It has space group P4/mmm (No. 123), with a = 4.021 Å, b = 4.021 Å, c = 4.171 Å, α = 90.00°, β = 90.00° and γ = 90.00°. Symmetry generates all atoms from Tl at (0.000, 0.000, 0.000), Ir at (0.500, 0.500, 0.000) and Pt at (0.000, 0.500, 0.500).

---

(12)
## TlIrPt2 (PBE-GGA)

Data for TlIrPt2 after structural relaxation.

For the energy above the most stable polymorph in this dataset, the calculation gives 17 meV per atom. The value obtained for the energy of formation is 209 meV per atom.

It has space group P2/m (No. 10), with a = 2.825 Å, b = 3.686 Å, c = 6.977 Å, α = 90.00°, β = 99.13° and γ = 90.00°. Symmetry generates all atoms from Tl at (0.000, 0.000, 0.000), Ir at (0.000, 0.000, 0.500) and Pt at (0.411, 0.500, 0.291).

---

(13)
## TlIrPt2 (PBE-GGA)

Data for TlIrPt2 after structural relaxation.

For the energy above the most stable polymorph in this dataset, the calculation gives 98 meV per atom. The value obtained for the energy of formation is 289 meV per atom.

It has space group Immm (No. 71), with a = 2.879 Å, b = 4.854 Å, c = 9.878 Å, α = 90.00°, β = 90.00° and γ = 90.00°. Symmetry generates all atoms from Tl at (0.000, 0.000, 0.000), Ir at (0.000, 0.000, 0.500) and Pt at (0.000, 0.500, 0.238).